VASP calculation (PBE) on CaNd2DySb4 after structural relaxation.

Output
uncorrected formation energy = -1.05 eV per atom

abc: 7.7501 4.4800 7.8261
angles: 90.00 109.38 90.00
Last column: nearest neighbours and their distance in Å.
Space group P2/m (No. 10)
Asymmetric unit:
Ca: 0.0000 0.0000 0.0000 (multiplicity 1)  6 Sb 3.18
Nd: 0.5000 0.0000 0.5000 (multiplicity 1)  6 Sb 3.17-3.18
Nd: 0.5000 0.5000 0.0000 (multiplicity 1)  6 Sb 3.22
Dy: 0.0000 0.5000 0.5000 (multiplicity 1)  6 Sb 3.14
Sb: 0.2435 0.0000 0.7439 (multiplicity 2)  2 Dy 3.14, 1 Ca 3.18, 3 Nd 3.18-3.22
Sb: 0.2471 0.5000 0.2538 (multiplicity 2)  1 Dy 3.14, 3 Nd 3.17-3.22, 2 Ca 3.18


VASP calculation (PBE) on Tb2DyScIn2 after structural relaxation.

Output
energy of formation from the pure elements = -0.353 eV per atom

abc: 5.2866 9.2080 6.6887
angles: 90.00 90.00 90.00
Last column: nearest neighbours and their distance in Å.
Space group Pmc2_1 (No. 26)
Asymmetric unit:
Tb: 0.0000 0.0050 0.0000 (multiplicity 2)  6 Tb 3.35-3.48, 2 Sc 3.45-3.49, 6 In 3.50-3.64
Tb: 0.5000 0.1644 0.2556 (multiplicity 2)  5 In 3.12-3.38, 4 Tb 3.47-3.48
Dy: 0.5000 0.4957 0.9984 (multiplicity 2)  2 Dy 3.35, 6 In 3.38-3.46, 4 Sc 3.49-3.50, 2 Tb 3.50-3.53
Sc: 0.0000 0.3300 0.7440 (multiplicity 2)  4 In 2.99-3.32
In: 0.0000 0.3452 0.2477 (multiplicity 2)  2 Sc 2.99-3.32, 2 Tb 3.12
In: 0.5000 0.1761 0.7513 (multiplicity 2)  2 Sc 3.00, 2 Tb 3.14-3.32


VASP calculation (PBE) on Li2Zn2Ru after structural relaxation.

Output
ΔE to the lowest computed polymorph = 0.05 eV per formula unit
energy of formation from the pure elements = 0.065 eV per atom

abc: 7.1531 7.1531 2.6113
angles: 90.00 90.00 90.00
Last column: nearest neighbours and their distance in Å.
Space group P4/mbm (No. 127)
Asymmetric unit:
Li: 0.1675 0.3325 0.0000 (multiplicity 4)  6 Zn 2.41-2.52, 2 Li 2.61
Zn: 0.1322 0.6322 0.5000 (multiplicity 4)  6 Li 2.41-2.52, 3 Zn 2.61-2.68
Ru: 0.0000 0.0000 0.5000 (multiplicity 2)  2 Ru 2.61, 4 Zn 2.80


VASP calculation (PBE) on FeSn after structural relaxation.

Output
energy of formation from the pure elements = 0.193 eV per atom

abc: 9.9289 9.9289 3.1063
angles: 90.00 90.00 90.00
Last column: nearest neighbours and their distance in Å.
Space group I4/m (No. 87)
Asymmetric unit:
Fe: 0.0802 0.6097 0.0000 (multiplicity 8)  5 Fe 2.46-2.70, 2 Sn 2.75
Sn: 0.1146 0.1911 0.0000 (multiplicity 8)  4 Fe 2.75-2.95


VASP calculation (PBE) on NbTlSe2 after structural relaxation.

Output
uncorrected formation energy = -0.35 eV per atom

abc: 11.6716 5.9316 6.2850
angles: 90.00 90.00 90.00
Last column: nearest neighbours and their distance in Å.
Space group Cmc2_1 (No. 36)
Asymmetric unit:
Nb: 0.0000 0.0725 0.0000 (multiplicity 4)  4 Se 2.50-2.68
Tl: 0.0000 0.4384 0.3348 (multiplicity 4)  3 Nb 3.02-3.20, 2 Tl 3.23, 2 Se 3.23
Se: 0.1545 0.1364 0.6912 (multiplicity 8)  2 Nb 2.50-2.68


VASP calculation (PBE) on Rb2YMn after structural relaxation.

Output
ΔE to the lowest computed polymorph = 0.76 eV per formula unit
energy of formation from the pure elements = 1.161 eV per atom

abc: 8.9008 8.9008 8.9008
angles: 90.00 90.00 90.00
Last column: nearest neighbours and their distance in Å.
Space group Fm-3m (No. 225)
Asymmetric unit:
Rb: 0.2500 0.2500 0.2500 (multiplicity 8)  4 Mn 3.85, 4 Y 3.85
Y: 0.0000 0.0000 0.0000 (multiplicity 4)  8 Rb 3.85
Mn: 0.0000 0.0000 0.5000 (multiplicity 4)  8 Rb 3.85


VASP calculation (PBE) on LiAlInRu after structural relaxation.

Output
energy of formation from the pure elements = -0.271 eV per atom

abc: 6.2924 6.2924 6.2924
angles: 90.00 90.00 90.00
Last column: nearest neighbours and their distance in Å.
Space group F-43m (No. 216)
Asymmetric unit:
Li: 0.0000 0.0000 0.0000 (multiplicity 4)  4 In 2.72, 4 Al 2.72
Al: 0.2500 0.2500 0.2500 (multiplicity 4)  4 Ru 2.72, 4 Li 2.72
In: 0.2500 0.2500 0.7500 (multiplicity 4)  4 Li 2.72, 4 Ru 2.72
Ru: 0.0000 0.0000 0.5000 (multiplicity 4)  4 In 2.72, 4 Al 2.72


VASP calculation (PBE) on NdHf2Pd after structural relaxation.

Output
energy of formation from the pure elements = -0.180 eV per atom

abc: 3.3986 3.3986 7.8119
angles: 90.00 90.00 90.00
Last column: nearest neighbours and their distance in Å.
Space group P4/mmm (No. 123)
Asymmetric unit:
Nd: 0.0000 0.0000 0.0000 (multiplicity 1)  8 Hf 3.34, 4 Nd 3.40
Hf: 0.5000 0.5000 0.2978 (multiplicity 2)  4 Pd 2.88, 1 Hf 3.16
Pd: 0.0000 0.0000 0.5000 (multiplicity 1)  8 Hf 2.88


VASP calculation (PBE) on LiTi3V after structural relaxation.

Output
ΔE to the lowest computed polymorph = 1.47 eV per formula unit
energy of formation from the pure elements = 1.029 eV per atom

abc: 4.3942 4.3942 4.3942
angles: 90.00 90.00 90.00
Last column: nearest neighbours and their distance in Å.
Space group Pm-3m (No. 221)
Asymmetric unit:
Li: 0.0000 0.0000 0.0000 (multiplicity 1)  6 Ti 2.20
Ti: 0.0000 0.0000 0.5000 (multiplicity 3)  2 Li 2.20
V: 0.5000 0.5000 0.5000 (multiplicity 1)  12 Ti 3.11


VASP calculation (PBE) on CuBi2TeS5 after structural relaxation.

Output
uncorrected formation energy = -0.13 eV per atom

abc: 4.1439 16.7056 12.5333
angles: 90.00 90.00 90.00
Last column: nearest neighbours and their distance in Å.
Space group Cmc2_1 (No. 36)
Asymmetric unit:
Cu: 0.0000 0.0028 0.0000 (multiplicity 4)  4 S 2.29-2.42
Bi: 0.0000 0.3893 0.2116 (multiplicity 4)  5 S 2.73-2.91
Bi: 0.0000 0.3903 0.7637 (multiplicity 4)  3 S 2.72-2.73
Te: 0.0000 0.2813 0.5003 (multiplicity 4)  3 S 2.52
S: 0.0000 0.0186 0.8182 (multiplicity 4)  1 Cu 2.29
S: 0.0000 0.1361 0.5559 (multiplicity 4)  1 Cu 2.42, 1 Te 2.52
S: 0.0000 0.1960 0.1817 (multiplicity 4)  2 Bi 2.72
S: 0.0000 0.2316 0.8875 (multiplicity 4)  2 Te 2.52
S: 0.0000 0.4794 0.5812 (multiplicity 4)  2 Cu 2.33